Record 1
{
  "formula": "Cs2PdCl4",
  "functional": "PBE",
  "state": "relaxed",
  "formation_energy_uncorrected_ev_per_atom": -1.360,
  "lattice": [[5.1603, 0.0000, 0.0000], [0.0000, 5.1603, 0.0000], [2.5801, 2.5801, 8.4006]],
  "species": ["Cl", "Cl", "Cs", "Cs", "Pd", "Cl", "Cl"],
  "fractional_positions": [[0.8547, 0.8547, 0.2907], [0.1453, 0.1453, 0.7093], [0.3591, 0.3591, 0.2818], [0.6409, 0.6409, 0.7182], [0.0000, 0.0000, 0.0000], [0.5000, 0.0000, 0.0000], [0.0000, 0.5000, 0.0000]]
}


Record 2
{
  "formula": "Cs3PdCl4",
  "functional": "PBE",
  "state": "relaxed",
  "formation_energy_uncorrected_ev_per_atom": -1.426,
  "lattice": [[-0.6910, -4.7729, -1.5264], [7.7181, -3.1727, 6.4266], [-9.2022, -1.9018, 10.1127]],
  "species": ["Cs", "Cs", "Pd", "Pd", "Cs", "Cl", "Cl", "Cs", "Cl", "Cl", "Cl", "Cl", "Cs", "Cs", "Cl", "Cl"],
  "fractional_positions": [[0.5655, 0.3466, 0.6645], [0.0655, 0.6534, 0.1645], [0.0651, 0.3737, 0.0000], [0.5651, 0.6263, 0.5000], [0.0617, 0.8984, 0.5000], [0.5654, 0.6733, 0.3279], [0.5654, 0.6733, 0.6721], [0.5617, 0.1016, 0.0000], [0.0615, 0.8878, 0.0000], [0.0654, 0.3267, 0.1721], [0.0654, 0.3267, 0.8279], [0.5615, 0.1122, 0.5000], [0.5655, 0.3466, 0.3355], [0.0655, 0.6534, 0.8355], [0.5652, 0.4187, 0.0000], [0.0652, 0.5813, 0.5000]]
}


Record 3
{
  "formula": "Cs12Pd3Cl5",
  "functional": "PBE",
  "state": "relaxed",
  "formation_energy_uncorrected_ev_per_atom": -0.880,
  "lattice": [[-2.5769, -7.4122, 16.1753], [17.6242, 0.9282, -3.4277], [-7.0230, 16.5488, -0.1964]],
  "species": ["Cs", "Cl", "Cs", "Cs", "Pd", "Pd", "Cs", "Cs", "Cs", "Cs", "Cs", "Cs", "Pd", "Cs", "Cl", "Pd", "Cs", "Cl", "Cl", "Cl", "Cl", "Cl", "Cl", "Cs", "Pd", "Cs", "Cs", "Cl", "Pd", "Cl", "Cs", "Cs", "Pd", "Cs", "Cs", "Cs", "Cl", "Pd", "Cs", "Cs", "Pd", "Cs", "Cl", "Cl", "Cs", "Cl", "Cs", "Cs", "Pd", "Cl", "Cs", "Cs", "Cs", "Cs", "Pd", "Cs", "Cs", "Cl", "Cs", "Cs", "Cs", "Cs", "Cs", "Cs", "Cs", "Cs", "Cl", "Cs", "Cl", "Cs", "Cs", "Cl", "Cs", "Cl", "Pd", "Cs", "Cs", "Cs", "Cs", "Cs"],
  "fractional_positions": [[0.6722, 0.4523, 0.5900], [0.0000, 0.0000, 0.0000], [0.7199, 0.5822, 0.1722], [0.8278, 0.9178, 0.2801], [0.3750, 0.7500, 0.6250], [0.2500, 0.6250, 0.8750], [0.9523, 0.5900, 0.1722], [0.5900, 0.9523, 0.6722], [0.4100, 0.0477, 0.3278], [0.9523, 0.3623, 0.2801], [0.5822, 0.7199, 0.6722], [0.5477, 0.2199, 0.1377], [0.7500, 0.3750, 0.1250], [0.1722, 0.0900, 0.9523], [0.0000, 0.5000, 0.0000], [0.1250, 0.8750, 0.7500], [0.0822, 0.9100, 0.3623], [0.0000, 0.5000, 0.5000], [0.1250, 0.7500, 0.3750], [0.2500, 0.3750, 0.6250], [0.2500, 0.8750, 0.1250], [0.5000, 0.5000, 0.0000], [0.6250, 0.7500, 0.8750], [0.6377, 0.5900, 0.9178], [0.6250, 0.2500, 0.3750], [0.2199, 0.6722, 0.0822], [0.8623, 0.2801, 0.4523], [0.5000, 0.0000, 0.5000], [0.8750, 0.1250, 0.2500], [0.7500, 0.6250, 0.3750], [0.4523, 0.7801, 0.8623], [0.2801, 0.4178, 0.8278], [0.3750, 0.6250, 0.2500], [0.0477, 0.4100, 0.8278], [0.9178, 0.8278, 0.7801], [0.7199, 0.1377, 0.0477], [0.0000, 0.0000, 0.5000], [0.8750, 0.7500, 0.1250], [0.6377, 0.0477, 0.2199], [0.0900, 0.9178, 0.1377], [0.7500, 0.8750, 0.6250], [0.4178, 0.1377, 0.5900], [0.3750, 0.1250, 0.7500], [0.8750, 0.6250, 0.7500], [0.3623, 0.9523, 0.7801], [0.1250, 0.3750, 0.2500], [0.6722, 0.2199, 0.5822], [0.1722, 0.0822, 0.7199], [0.2500, 0.1250, 0.3750], [0.5000, 0.0000, 0.0000], [0.4523, 0.6722, 0.0900], [0.0477, 0.6377, 0.7199], [0.9100, 0.8278, 0.5477], [0.0822, 0.1722, 0.2199], [0.1250, 0.2500, 0.8750], [0.5900, 0.6377, 0.4178], [0.2801, 0.8623, 0.9523], [0.5000, 0.5000, 0.5000], [0.7801, 0.4523, 0.3623], [0.2199, 0.5477, 0.6377], [0.5822, 0.8623, 0.4100], [0.4100, 0.3623, 0.5822], [0.7801, 0.3278, 0.9178], [0.9100, 0.0822, 0.8623], [0.8278, 0.9100, 0.0477], [0.3278, 0.7801, 0.4178], [0.6250, 0.8750, 0.2500], [0.9178, 0.0900, 0.6377], [0.3750, 0.2500, 0.1250], [0.4178, 0.2801, 0.3278], [0.3623, 0.4100, 0.0822], [0.8750, 0.2500, 0.6250], [0.3278, 0.5477, 0.4100], [0.7500, 0.1250, 0.8750], [0.6250, 0.3750, 0.7500], [0.1377, 0.7199, 0.5477], [0.8623, 0.5822, 0.9100], [0.0900, 0.1722, 0.4523], [0.1377, 0.4178, 0.0900], [0.5477, 0.3278, 0.9100]]
}


Record 4
{
  "formula": "CsPdCl4",
  "functional": "PBE",
  "state": "relaxed",
  "formation_energy_uncorrected_ev_per_atom": -0.921,
  "lattice": [[-3.6358, -1.4956, -2.9305], [-2.4800, -1.6241, 3.9058], [-3.3849, 6.8550, 0.7012]],
  "species": ["Cl", "Pd", "Cl", "Cl", "Cl", "Cs"],
  "fractional_positions": [[0.0000, 0.5000, 0.5000], [0.5000, 0.5000, 0.5000], [0.5000, 0.5000, 0.1950], [0.5000, 0.0000, 0.5000], [0.5000, 0.5000, 0.8050], [0.0000, 0.0000, 0.0000]]
}


Record 5
{
  "formula": "Cs2Pd3Cl9",
  "functional": "PBE",
  "state": "relaxed",
  "formation_energy_uncorrected_ev_per_atom": -0.833,
  "lattice": [[9.2075, 5.5881, -0.0189], [-9.2075, 5.5881, -0.0189], [0.0000, 4.4717, 9.4117]],
  "species": ["Cl", "Cs", "Cl", "Cl", "Cl", "Cl", "Cl", "Cl", "Cl", "Cl", "Cs", "Cl", "Cl", "Pd", "Cs", "Cl", "Cl", "Cl", "Pd", "Cl", "Pd", "Pd", "Pd", "Cl", "Cl", "Cl", "Pd", "Cs"],
  "fractional_positions": [[0.7205, 0.7205, 0.2192], [0.2407, 0.5706, 0.8021], [0.5053, 0.1124, 0.1602], [0.8171, 0.1829, 0.5000], [0.8266, 0.6432, 0.5181], [0.4947, 0.8876, 0.8398], [0.7254, 0.7254, 0.7978], [0.2795, 0.2795, 0.7808], [0.0783, 0.8974, 0.7817], [0.6432, 0.8266, 0.5181], [0.7593, 0.4294, 0.1979], [0.1026, 0.9217, 0.2183], [0.1829, 0.8171, 0.5000], [0.0517, 0.2531, 0.3343], [0.5706, 0.2407, 0.8021], [0.8876, 0.4947, 0.8398], [0.1124, 0.5053, 0.1602], [0.1734, 0.3568, 0.4819], [0.7469, 0.9483, 0.6657], [0.8974, 0.0783, 0.7817], [0.8600, 0.8600, 0.3538], [0.9483, 0.7469, 0.6657], [0.1400, 0.1400, 0.6462], [0.3568, 0.1734, 0.4819], [0.2746, 0.2746, 0.2022], [0.9217, 0.1026, 0.2183], [0.2531, 0.0517, 0.3343], [0.4294, 0.7593, 0.1979]]
}


Record 6
{
  "formula": "CsPdCl2",
  "functional": "PBE",
  "state": "relaxed",
  "formation_energy_uncorrected_ev_per_atom": -0.855,
  "lattice": [[3.1235, 0.0000, 7.8246], [-1.5617, 2.7050, 7.8246], [-1.5617, -2.7050, 7.8246]],
  "species": ["Cs", "Cl", "Pd", "Cl"],
  "fractional_positions": [[0.5000, 0.5000, 0.5000], [0.9016, 0.9016, 0.9016], [0.0000, 0.0000, 0.0000], [0.0984, 0.0984, 0.0984]]
}


Record 7
{
  "formula": "Cs2PdCl5",
  "functional": "PBE",
  "state": "relaxed",
  "formation_energy_uncorrected_ev_per_atom": -1.297,
  "lattice": [[5.1243, 0.0000, 0.0000], [0.0000, 7.3888, 0.0000], [0.0000, 0.0000, 7.3888]],
  "species": ["Cl", "Cl", "Cl", "Cl", "Cl", "Cs", "Pd", "Cs"],
  "fractional_positions": [[0.5000, 0.0000, 0.0000], [0.0000, 0.7737, 0.7737], [0.0000, 0.7737, 0.2263], [0.0000, 0.2263, 0.2263], [0.0000, 0.2263, 0.7737], [0.5000, 0.5000, 0.0000], [0.0000, 0.0000, 0.0000], [0.5000, 0.0000, 0.5000]]
}


Record 8
{
  "formula": "Cs4PdCl5",
  "functional": "PBE",
  "state": "relaxed",
  "formation_energy_uncorrected_ev_per_atom": -1.484,
  "lattice": [[7.0902, 0.0000, 0.0000], [3.5451, 7.3691, 0.0000], [3.5451, 0.0000, 7.3691]],
  "species": ["Cs", "Cs", "Cs", "Cl", "Cs", "Pd", "Cl", "Cl", "Cl", "Cl"],
  "fractional_positions": [[0.4116, 0.3875, 0.7959], [0.7991, 0.7959, 0.6125], [0.5950, 0.6125, 0.2041], [0.9213, 0.3202, 0.8396], [0.2075, 0.2041, 0.3875], [0.0041, 0.0000, 0.0000], [0.7609, 0.1604, 0.3202], [0.0812, 0.6798, 0.1604], [0.4880, 0.0000, 0.0000], [0.2416, 0.8396, 0.6798]]
}